(1)
The following is a DFT calculation (PBE-GGA) of a geometry-optimized Tb5Sm3Ho structure.

Geometry as POSCAR:
```
Tb5Sm3Ho
1.0
8.228 -3.360 0.000
8.228 3.360 0.000
-3.818 0.000 10.784
Tb Sm Ho
10 6 2
direct
0.104 0.111 0.045
0.111 0.104 0.545
0.181 0.819 0.750
0.208 0.441 0.631
0.441 0.208 0.131
0.559 0.792 0.869
0.792 0.559 0.369
0.819 0.181 0.250
0.889 0.896 0.455
0.896 0.889 0.955
0.117 0.359 0.858
0.359 0.117 0.358
0.500 0.500 0.000
0.500 0.500 0.500
0.641 0.883 0.642
0.883 0.641 0.142
0.272 0.728 0.250
0.728 0.272 0.750
```

Summary:
**Magnetic moment**: 0.0 μB/cell
**Formation enthalpy at 0 K**: 0.165 eV/atom
**ρ**: 7.9 g/cm³
**E_tot**: -4.489 eV/atom
**Space-group type**: C2/c, No. 15
**ΔE to the lowest computed polymorph**: 0.00 eV/f.u.

(2)
The following is a DFT calculation (PBE-GGA) of a geometry-optimized MoCl3 structure.

Geometry as POSCAR:
```
MoCl3
1.0
3.024 0.000 0.000
0.000 3.024 0.000
0.000 0.000 8.621
Mo Cl
1 3
direct
0.000 0.000 0.000
0.000 0.000 0.500
0.500 0.500 0.172
0.500 0.500 0.828
```

Summary:
**Magnetic moment**: 0.5 μB/cell
**ρ**: 4.3 g/cm³
**Uncorrected formation energy**: 24 meV/atom
**E_tot**: -4.068 eV/atom
**Space-group type**: P4/mmm, No. 123
**ΔE to the lowest computed polymorph**: 3.53 eV/f.u.

(3)
The following is a DFT calculation (PBE-GGA) of a geometry-optimized Cs2NaHg12Au3 structure.

Geometry as POSCAR:
```
Cs2NaHg12Au3
1.0
5.117 2.954 7.710
-5.117 2.954 7.710
0.000 -5.908 7.710
Cs Na Hg Au
2 1 12 3
direct
0.104 0.104 0.104
0.896 0.896 0.896
0.500 0.500 0.500
0.133 0.624 0.624
0.170 0.170 0.509
0.170 0.509 0.170
0.376 0.376 0.867
0.376 0.867 0.376
0.491 0.830 0.830
0.509 0.170 0.170
0.624 0.133 0.624
0.624 0.624 0.133
0.830 0.491 0.830
0.830 0.830 0.491
0.867 0.376 0.376
0.000 0.500 0.500
0.500 0.000 0.500
0.500 0.500 0.000
```

Summary:
**Magnetic moment**: 0.0 μB/cell
**Formation enthalpy at 0 K**: -0.079 eV/atom
**ρ**: 7.8 g/cm³
**E_tot**: -0.995 eV/atom
**Space-group type**: R-3m, No. 166

(4)
The following is a DFT calculation (PBE-GGA) of a geometry-optimized NbAgIN2 structure.

Geometry as POSCAR:
```
NbAgIN2
1.0
4.070 0.000 0.000
0.000 4.070 0.000
0.000 0.000 6.041
Nb Ag I N
1 1 1 2
direct
0.000 0.000 0.000
0.500 0.500 0.500
0.000 0.000 0.500
0.000 0.500 0.000
0.500 0.000 0.000
```

Summary:
**Magnetic moment**: 0.3 μB/cell
**ρ**: 5.9 g/cm³
**Uncorrected formation energy**: 409 meV/atom
**E_tot**: -5.815 eV/atom
**Space-group type**: P4/mmm, No. 123
**ΔE to the lowest computed polymorph**: 0.00 eV/f.u.

(5)
The following is a DFT calculation (PBE-GGA) of a geometry-optimized Sm2CoMoN5 structure.

Geometry as POSCAR:
```
Sm2CoMoN5
1.0
1.605 -7.105 0.000
1.605 7.105 0.000
0.000 0.000 9.916
Sm Co Mo N
4 2 2 10
direct
0.118 0.882 0.500
0.121 0.879 0.118
0.879 0.121 0.618
0.882 0.118 0.000
0.447 0.553 0.252
0.553 0.447 0.752
0.209 0.791 0.822
0.791 0.209 0.322
0.024 0.976 0.813
0.303 0.697 0.460
0.321 0.679 0.179
0.337 0.663 0.807
0.498 0.502 0.079
0.502 0.498 0.579
0.663 0.337 0.307
0.679 0.321 0.679
0.697 0.303 0.960
0.976 0.024 0.313
```

Summary:
**Magnetic moment**: 0.0 μB/cell
**ρ**: 7.7 g/cm³
**Uncorrected formation energy**: -651 meV/atom
**E_tot**: -8.318 eV/atom
**Space-group type**: Cmc2_1, No. 36

(6)
The following is a DFT calculation (PBE-GGA) of a geometry-optimized Te2Au structure.

Geometry as POSCAR:
```
Te2Au
1.0
-3.203 3.203 3.872
3.203 -3.203 3.872
3.203 3.203 -3.872
Te Au
4 2
direct
0.161 0.661 0.821
0.339 0.161 0.500
0.661 0.839 0.500
0.839 0.339 0.179
0.250 0.250 0.000
0.750 0.750 0.000
```

Summary:
**Magnetic moment**: 0.0 μB/cell
**ρ**: 9.4 g/cm³
**Uncorrected formation energy**: 201 meV/atom
**E_tot**: -2.986 eV/atom
**Space-group type**: I4/mcm, No. 140